1.
Computed, not measured: a relaxed structure of CsSr2CrF8 at the PBE with a Hubbard U level of DFT.

Structure (CIF):
```
data_CsSr2CrF8
_cell_length_a 5.4306
_cell_length_b 5.4408
_cell_length_c 7.6201
_cell_angle_alpha 70.42
_cell_angle_beta 85.33
_cell_angle_gamma 79.27
_space_group_name_H-M_alt 'P -1'
_space_group_IT_number 2
_space_group_name_Hall '-P 1'
loop_
_atom_site_label
_atom_site_fract_x
_atom_site_fract_y
_atom_site_fract_z
Cs1 0.0000 0.0000 0.0000
Sr1 0.4693 0.3805 0.2760
Cr1 0.0000 0.0000 0.5000
F1 0.0197 0.2970 0.2719
F2 0.2497 0.7467 0.4154
F3 0.2769 0.0866 0.5991
F4 0.4536 0.2717 0.9965
```

Summary:
final energy = -5.537 eV per atom
density of states at the Fermi level = 0.000 states/eV/atom
total magnetization = 3.0 μB per formula unit

2.
Computed, not measured: a relaxed structure of CsTa2CrF at the PBE with a Hubbard U level of DFT.

Structure (CIF):
```
data_CsTa2CrF
_cell_length_a 4.3932
_cell_length_b 4.3932
_cell_length_c 5.6483
_cell_angle_alpha 90.00
_cell_angle_beta 90.00
_cell_angle_gamma 90.00
_space_group_name_H-M_alt 'P 4/m m m'
_space_group_IT_number 123
_space_group_name_Hall '-P 4 2'
loop_
_atom_site_label
_atom_site_fract_x
_atom_site_fract_y
_atom_site_fract_z
Cs1 0.0000 0.0000 0.0000
Ta1 0.0000 0.5000 0.5000
Cr1 0.5000 0.5000 0.0000
F1 0.0000 0.0000 0.5000
```

Summary:
final energy = -5.879 eV per atom
density of states at the Fermi level = 0.629 states/eV/atom
total magnetization = 2.7 μB per formula unit

3.
Computed, not measured: a relaxed structure of CsTbCrF6 at the PBE with a Hubbard U level of DFT.

Structure (CIF):
```
data_CsTbCrF6
_cell_length_a 7.6879
_cell_length_b 8.3106
_cell_length_c 11.6175
_cell_angle_alpha 90.00
_cell_angle_beta 90.00
_cell_angle_gamma 90.00
_space_group_name_H-M_alt 'I m m a'
_space_group_IT_number 74
_space_group_name_Hall '-I 2b 2'
loop_
_atom_site_label
_atom_site_fract_x
_atom_site_fract_y
_atom_site_fract_z
Cs1 0.0000 0.2500 0.0667
Tb1 0.0000 0.0000 0.5000
Cr1 0.2500 0.2500 0.7500
F1 0.0000 0.2500 0.4300
F2 0.0000 0.2500 0.7974
F3 0.2125 0.0641 0.6169
```

Summary:
final energy = -5.998 eV per atom
density of states at the Fermi level = 0.000 states/eV/atom
total magnetization = 4.0 μB per formula unit

4.
Computed, not measured: a relaxed structure of Cs2CrTcF at the PBE with a Hubbard U level of DFT.

Structure (CIF):
```
data_Cs2CrTcF
_cell_length_a 6.6686
_cell_length_b 6.6686
_cell_length_c 4.7754
_cell_angle_alpha 90.00
_cell_angle_beta 90.00
_cell_angle_gamma 90.00
_space_group_name_H-M_alt 'P 4/m m m'
_space_group_IT_number 123
_space_group_name_Hall '-P 4 2'
loop_
_atom_site_label
_atom_site_fract_x
_atom_site_fract_y
_atom_site_fract_z
Cs1 0.0000 0.5000 0.0000
Cr1 0.0000 0.0000 0.5000
Tc1 0.0000 0.0000 0.0000
F1 0.5000 0.5000 0.5000
```

Summary:
final energy = -3.949 eV per atom
density of states at the Fermi level = 0.971 states/eV/atom
total magnetization = 1.9 μB per formula unit

5.
Computed, not measured: a relaxed structure of CsTiCrF6 at the PBE with a Hubbard U level of DFT.

Structure (CIF):
```
data_CsTiCrF6
_cell_length_a 7.4233
_cell_length_b 7.7914
_cell_length_c 10.8810
_cell_angle_alpha 90.00
_cell_angle_beta 90.00
_cell_angle_gamma 90.00
_space_group_name_H-M_alt 'I m m a'
_space_group_IT_number 74
_space_group_name_Hall '-I 2b 2'
loop_
_atom_site_label
_atom_site_fract_x
_atom_site_fract_y
_atom_site_fract_z
Cs1 0.0000 0.2500 0.1252
Ti1 0.0000 0.0000 0.5000
Cr1 0.2500 0.2500 0.7500
F1 0.0000 0.2500 0.4610
F2 0.0000 0.2500 0.8217
F3 0.1896 0.0348 0.6250
```

Summary:
final energy = -6.057 eV per atom
density of states at the Fermi level = 0.351 states/eV/atom
total magnetization = 5.0 μB per formula unit

6.
Computed, not measured: a relaxed structure of CsTl2CrF6 at the PBE with a Hubbard U level of DFT.

Structure (CIF):
```
data_CsTl2CrF6
_cell_length_a 6.1662
_cell_length_b 7.1332
_cell_length_c 11.2044
_cell_angle_alpha 90.00
_cell_angle_beta 123.32
_cell_angle_gamma 90.00
_space_group_name_H-M_alt 'P 1 21/c 1'
_space_group_IT_number 14
_space_group_name_Hall '-P 2ybc'
loop_
_atom_site_label
_atom_site_fract_x
_atom_site_fract_y
_atom_site_fract_z
Cs1 0.0000 0.0000 0.0000
Tl1 0.2381 0.0304 0.7290
Cr1 0.5000 0.0000 0.5000
F1 0.2286 0.0956 0.3108
F2 0.2322 0.6398 0.0071
F3 0.4394 0.2116 0.5903
```

Summary:
final energy = -4.855 eV per atom
density of states at the Fermi level = 0.000 states/eV/atom
total magnetization = 3.0 μB per formula unit

7.
Computed, not measured: a relaxed structure of Cs2Tl2CrF6 at the PBE with a Hubbard U level of DFT.

Structure (CIF):
```
data_Cs2Tl2CrF6
_cell_length_a 7.1993
_cell_length_b 12.1422
_cell_length_c 6.5769
_cell_angle_alpha 90.00
_cell_angle_beta 104.36
_cell_angle_gamma 90.00
_space_group_name_H-M_alt 'C 1 2/m 1'
_space_group_IT_number 12
_space_group_name_Hall '-C 2y'
loop_
_atom_site_label
_atom_site_fract_x
_atom_site_fract_y
_atom_site_fract_z
Cs1 0.0000 0.1579 0.0000
Tl1 0.0000 0.3497 0.5000
Cr1 0.0000 0.5000 0.0000
F1 0.1620 0.3787 0.1717
F2 0.1892 0.5000 0.7195
```

Summary:
final energy = -4.601 eV per atom
density of states at the Fermi level = 0.000 states/eV/atom
total magnetization = 4.0 μB per formula unit

8.
Computed, not measured: a relaxed structure of CsTl2CrF5 at the PBE with a Hubbard U level of DFT.

Structure (CIF):
```
data_CsTl2CrF5
_cell_length_a 4.5557
_cell_length_b 6.5110
_cell_length_c 12.7287
_cell_angle_alpha 90.00
_cell_angle_beta 90.00
_cell_angle_gamma 90.00
_space_group_name_H-M_alt 'I m m m'
_space_group_IT_number 71
_space_group_name_Hall '-I 2 2'
loop_
_atom_site_label
_atom_site_fract_x
_atom_site_fract_y
_atom_site_fract_z
Cs1 0.0000 0.0000 0.0000
Tl1 0.0000 0.5000 0.2096
Cr1 0.0000 0.0000 0.5000
F1 0.0000 0.2204 0.3829
F2 0.0000 0.5000 0.0000
```

Summary:
final energy = -4.744 eV per atom
total magnetization = 4.0 μB per formula unit

9.
Computed, not measured: a relaxed structure of Cs3Tl3CrF8 at the PBE with a Hubbard U level of DFT.

Structure (CIF):
```
data_Cs3Tl3CrF8
_cell_length_a 13.8058
_cell_length_b 8.0351
_cell_length_c 8.2221
_cell_angle_alpha 90.00
_cell_angle_beta 124.35
_cell_angle_gamma 90.00
_space_group_name_H-M_alt 'C 1 2/m 1'
_space_group_IT_number 12
_space_group_name_Hall '-C 2y'
loop_
_atom_site_label
_atom_site_fract_x
_atom_site_fract_y
_atom_site_fract_z
Cs1 0.0000 0.0000 0.0000
Cs2 0.2500 0.2500 0.0000
Tl1 0.0000 0.5000 0.5000
Tl2 0.2500 0.2500 0.5000
Cr1 0.0000 0.0000 0.5000
F1 0.0058 0.2026 0.3133
F2 0.1799 0.0000 0.6759
F3 0.2443 0.5000 0.7307
```

Summary:
final energy = -4.399 eV per atom
total magnetization = 4.0 μB per formula unit

10.
Computed, not measured: a relaxed structure of CsTmCrF6 at the PBE with a Hubbard U level of DFT.

Structure (CIF):
```
data_CsTmCrF6
_cell_length_a 7.6123
_cell_length_b 8.1554
_cell_length_c 11.4983
_cell_angle_alpha 90.00
_cell_angle_beta 90.00
_cell_angle_gamma 90.00
_space_group_name_H-M_alt 'I m m a'
_space_group_IT_number 74
_space_group_name_Hall '-I 2b 2'
loop_
_atom_site_label
_atom_site_fract_x
_atom_site_fract_y
_atom_site_fract_z
Cs1 0.0000 0.2500 0.0812
Tm1 0.0000 0.0000 0.5000
Cr1 0.2500 0.2500 0.7500
F1 0.0000 0.2500 0.4352
F2 0.0000 0.2500 0.8044
F3 0.2064 0.0575 0.6186
```

Summary:
final energy = -6.014 eV per atom
density of states at the Fermi level = 0.000 states/eV/atom
total magnetization = 4.0 μB per formula unit

11.
Computed, not measured: a relaxed structure of Cs2VCrF6 at the PBE with a Hubbard U level of DFT.

Structure (CIF):
```
data_Cs2VCrF6
_cell_length_a 6.0257
_cell_length_b 6.0257
_cell_length_c 9.3488
_cell_angle_alpha 90.00
_cell_angle_beta 90.00
_cell_angle_gamma 90.00
_space_group_name_H-M_alt 'I 4/m m m'
_space_group_IT_number 139
_space_group_name_Hall '-I 4 2'
loop_
_atom_site_label
_atom_site_fract_x
_atom_site_fract_y
_atom_site_fract_z
Cs1 0.0000 0.5000 0.2500
V1 0.0000 0.0000 0.0000
Cr1 0.0000 0.0000 0.5000
F1 0.0000 0.0000 0.2266
F2 0.2420 0.2420 0.5000
```

Summary:
final energy = -5.490 eV per atom
density of states at the Fermi level = 0.000 states/eV/atom
total magnetization = 7.0 μB per formula unit

12.
Computed, not measured: a relaxed structure of CsVCrF6 at the PBE with a Hubbard U level of DFT.

Structure (CIF):
```
data_CsVCrF6
_cell_length_a 7.4085
_cell_length_b 7.7618
_cell_length_c 10.8654
_cell_angle_alpha 90.00
_cell_angle_beta 90.00
_cell_angle_gamma 90.00
_space_group_name_H-M_alt 'I m m a'
_space_group_IT_number 74
_space_group_name_Hall '-I 2b 2'
loop_
_atom_site_label
_atom_site_fract_x
_atom_site_fract_y
_atom_site_fract_z
Cs1 0.0000 0.2500 0.1268
V1 0.0000 0.0000 0.5000
Cr1 0.2500 0.2500 0.7500
F1 0.0000 0.2500 0.4451
F2 0.0000 0.2500 0.8218
F3 0.1885 0.0404 0.6226
```

Summary:
final energy = -5.827 eV per atom
total magnetization = 6.0 μB per formula unit